No. 1
Density functional theory data (GGA-PBE) for a relaxed TcRh2AuN crystal.

a = 4.1346 Å, b = 4.1346 Å, c = 4.0254 Å
α = 90.00°, β = 90.00°, γ = 90.00°
Fractional positions:
Au 0.5000 0.5000 0.5000
Rh 0.0000 0.5000 0.0000
Rh 0.5000 0.0000 0.0000
Tc 0.0000 0.0000 0.5000
N 0.0000 0.0000 0.0000

Results
Space-group type: P4/mmm, No. 123
Fermi-level density of states: 5.22 states/eV per cell
Formation energy without anion corrections: 208.3 meV/atom
Calculated volume: 68.8 Å³/cell

=====

No. 2
Density functional theory data (GGA-PBE) for a relaxed Te2RhAuN crystal.

a = 5.5563 Å, b = 5.5563 Å, c = 3.6953 Å
α = 90.00°, β = 90.00°, γ = 90.00°
Last column: magnetic moment on the atom in μB.
Fractional positions:
N 0.0000 0.0000 0.5000  0.12
Au 0.0000 0.0000 0.0000  0.03
Te 0.5000 0.0000 0.0000  0.01
Te 0.0000 0.5000 0.0000  0.01
Rh 0.5000 0.5000 0.5000  -0.01

Results
Space-group type: P4/mmm, No. 123
Fermi-level density of states: 4.35 states/eV per cell
Formation energy without anion corrections: 1217.6 meV/atom
Calculated volume: 114.1 Å³/cell

=====

No. 3
Density functional theory data (GGA-PBE) for a relaxed Te2RhAuN crystal.

a = 5.4707 Å, b = 3.6280 Å, c = 5.4707 Å
α = 90.00°, β = 90.00°, γ = 90.00°
Fractional positions:
Rh 0.0000 0.0000 0.0000
Te 0.5000 0.0000 0.0000
N 0.0000 0.5000 0.0000
Au 0.5000 0.5000 0.5000
Te 0.0000 0.0000 0.5000

Results
Space-group type: P4/mmm, No. 123
Fermi-level density of states: 3.30 states/eV per cell
Formation energy without anion corrections: 442.5 meV/atom
Calculated volume: 108.6 Å³/cell

=====

No. 4
Density functional theory data (GGA-PBE) for a relaxed ZnRhAu2N crystal.

a = 5.2184 Å, b = 3.6085 Å, c = 5.2184 Å
α = 90.00°, β = 90.00°, γ = 90.00°
Fractional positions:
Au 0.5000 0.0000 0.0000
Au 0.0000 0.0000 0.5000
Zn 0.5000 0.5000 0.5000
N 0.0000 0.5000 0.0000
Rh 0.0000 0.0000 0.0000

Results
Space-group type: P4/mmm, No. 123
Fermi-level density of states: 1.87 states/eV per cell
Formation energy without anion corrections: 613.8 meV/atom
Calculated volume: 98.3 Å³/cell